Entry from Alexandria: an optimized crystal structure of SnGeSb (GGA-PBE).

The value obtained for the raw total energy is -12.414 eV for the cell shown. The value obtained for the energy relative to the lowest polymorph listed for this composition is 0.0 meV per atom. The calculation puts the density of states at the Fermi level at 1.7 states/eV/cell. The calculation puts the mass density at 6.614 g cm⁻³. Its uncorrected formation energy is 110 meV per atom. As for the volume: 78.6 Å³ per cell.

The space group is P3m1 (No. 156) and the conventional cell measures 4.1360, 4.1360 and 5.3062 Å, with angles of 90.00, 90.00 and 120.00 degrees. The asymmetric unit holds Sn at (0.0000, 0.0000, 0.0000), Ge at (0.3333, 0.6667, 0.6768) and Sb at (0.6667, 0.3333, 0.3759).